Computed, not measured: a relaxed TbHoThIn crystal at the GGA-PBE level of DFT.

Summary:
- E_form: -0.026 eV/atom
- Raw total energy: -0.3578 Ry/atom

a b c (Å): 5.459 5.459 5.459
angles (deg): 60.00 60.00 60.00
Atoms (fractional coordinates):
Tb  0.000  0.000  0.000
Ho  0.500  0.500  0.500
Th  0.750  0.750  0.750
In  0.250  0.250  0.250


Computed, not measured: a relaxed TbHoTiIn crystal at the GGA-PBE level of DFT.

Summary:
- E_form: -0.092 eV/atom
- Raw total energy: -0.3714 Ry/atom

a b c (Å): 5.253 5.253 5.253
angles (deg): 60.00 60.00 60.00
Atoms (fractional coordinates):
Tb  0.000  0.000  0.000
Ho  0.500  0.500  0.500
Ti  0.750  0.750  0.750
In  0.250  0.250  0.250


Computed, not measured: a relaxed Tb5HoTlIn2 crystal at the GGA-PBE level of DFT.

Summary:
- E_form: -0.062 eV/atom
- Raw total energy: -0.2951 Ry/atom

a b c (Å): 9.385 9.385 9.385
angles (deg): 125.62 125.62 80.52
Atoms (fractional coordinates):
Tb  0.000  0.000  0.000
Tb  0.075  0.575  0.916
Tb  0.158  0.075  0.500
Tb  0.342  0.842  0.916
Tb  0.425  0.342  0.500
Tb  0.500  0.500  0.000
Tb  0.575  0.658  0.500
Tb  0.658  0.158  0.084
Tb  0.842  0.925  0.500
Tb  0.925  0.425  0.084
Ho  0.250  0.750  0.500
Ho  0.750  0.250  0.500
Tl  0.250  0.250  0.000
Tl  0.750  0.750  0.000
In  0.110  0.390  0.500
In  0.390  0.890  0.279
In  0.610  0.110  0.721
In  0.890  0.610  0.500


Computed, not measured: a relaxed TbHoTmIn crystal at the GGA-PBE level of DFT.

Summary:
- E_form: -0.264 eV/atom
- Raw total energy: -0.3210 Ry/atom

a b c (Å): 4.819 4.822 4.825
angles (deg): 90.00 90.00 90.00
Atoms (fractional coordinates):
Tb  0.000  0.000  0.000
Ho  0.000  0.500  0.500
Tm  0.500  0.500  0.000
In  0.500  0.000  0.500


Computed, not measured: a relaxed TbHoTm5In2 crystal at the GGA-PBE level of DFT.

Summary:
- E_form: 0.021 eV/atom
- Raw total energy: -0.3010 Ry/atom

a b c (Å): 11.061 11.061 11.061
angles (deg): 140.14 140.14 57.64
Atoms (fractional coordinates):
Tb  0.250  0.250  0.000
Tb  0.750  0.750  0.000
Ho  0.250  0.750  0.500
Ho  0.750  0.250  0.500
Tm  0.000  0.000  0.000
Tm  0.078  0.578  0.900
Tm  0.178  0.078  0.500
Tm  0.322  0.822  0.900
Tm  0.422  0.322  0.500
Tm  0.500  0.500  0.000
Tm  0.578  0.678  0.500
Tm  0.678  0.178  0.100
Tm  0.822  0.922  0.500
Tm  0.922  0.422  0.100
In  0.125  0.375  0.500
In  0.375  0.875  0.250
In  0.625  0.125  0.750
In  0.875  0.625  0.500


Computed, not measured: a relaxed Tb5Ho2TmIn crystal at the GGA-PBE level of DFT.

Summary:
- E_form: -0.003 eV/atom
- Raw total energy: -0.3229 Ry/atom

a b c (Å): 10.387 10.387 10.490
angles (deg): 90.00 90.00 150.15
Atoms (fractional coordinates):
Tb  0.000  0.000  0.000
Tb  0.000  0.000  0.500
Tb  0.119  0.881  0.750
Tb  0.211  0.789  0.051
Tb  0.211  0.789  0.449
Tb  0.487  0.513  0.750
Tb  0.513  0.487  0.250
Tb  0.789  0.211  0.551
Tb  0.789  0.211  0.949
Tb  0.881  0.119  0.250
Ho  0.384  0.616  0.041
Ho  0.384  0.616  0.459
Ho  0.616  0.384  0.541
Ho  0.616  0.384  0.959
Tm  0.294  0.706  0.750
Tm  0.706  0.294  0.250
In  0.096  0.904  0.250
In  0.904  0.096  0.750


Computed, not measured: a relaxed TbHo2Tm5In crystal at the GGA-PBE level of DFT.

Summary:
- E_form: 0.001 eV/atom
- Raw total energy: -0.3175 Ry/atom

a b c (Å): 10.355 10.355 10.336
angles (deg): 90.00 90.00 150.47
Atoms (fractional coordinates):
Tb  0.208  0.792  0.750
Tb  0.792  0.208  0.250
Ho  0.116  0.884  0.038
Ho  0.116  0.884  0.462
Ho  0.884  0.116  0.538
Ho  0.884  0.116  0.962
Tm  0.010  0.990  0.750
Tm  0.289  0.711  0.050
Tm  0.289  0.711  0.450
Tm  0.383  0.617  0.750
Tm  0.500  0.500  0.000
Tm  0.500  0.500  0.500
Tm  0.617  0.383  0.250
Tm  0.711  0.289  0.550
Tm  0.711  0.289  0.950
Tm  0.990  0.010  0.250
In  0.404  0.596  0.250
In  0.596  0.404  0.750


Computed, not measured: a relaxed TbHo2Tm2In crystal at the GGA-PBE level of DFT.

Summary:
- E_form: -0.026 eV/atom
- Raw total energy: -0.3139 Ry/atom

a b c (Å): 6.559 9.979 5.408
angles (deg): 90.00 90.00 90.00
Atoms (fractional coordinates):
Tb  0.000  0.000  0.000
Tb  0.500  0.500  0.500
Ho  0.219  0.191  0.500
Ho  0.281  0.691  0.000
Ho  0.719  0.309  0.000
Ho  0.781  0.809  0.500
Tm  0.209  0.366  0.000
Tm  0.291  0.866  0.500
Tm  0.709  0.134  0.500
Tm  0.791  0.634  0.000
In  0.000  0.500  0.500
In  0.500  0.000  0.000


Computed, not measured: a relaxed Tb6Ho3Tm2In crystal at the GGA-PBE level of DFT.

Summary:
- E_form: -0.037 eV/atom
- Raw total energy: -0.3285 Ry/atom

a b c (Å): 6.087 6.087 11.573
angles (deg): 95.06 95.06 120.05
Atoms (fractional coordinates):
Tb  0.082  0.412  0.746
Tb  0.247  0.247  0.252
Tb  0.412  0.082  0.746
Tb  0.588  0.918  0.254
Tb  0.753  0.753  0.748
Tb  0.918  0.588  0.254
Ho  0.167  0.833  0.000
Ho  0.500  0.500  0.000
Ho  0.833  0.167  0.000
Tm  0.334  0.666  0.500
Tm  0.666  0.334  0.500
In  0.000  0.000  0.500


Computed, not measured: a relaxed Tb3Ho6Tm2In crystal at the GGA-PBE level of DFT.

Summary:
- E_form: -0.036 eV/atom
- Raw total energy: -0.3275 Ry/atom

a b c (Å): 6.069 6.069 11.546
angles (deg): 95.06 95.06 120.04
Atoms (fractional coordinates):
Tb  0.000  0.000  0.000
Tb  0.333  0.667  0.000
Tb  0.667  0.333  0.000
Ho  0.090  0.419  0.255
Ho  0.252  0.252  0.747
Ho  0.419  0.090  0.255
Ho  0.581  0.910  0.745
Ho  0.748  0.748  0.253
Ho  0.910  0.581  0.745
Tm  0.166  0.834  0.500
Tm  0.834  0.166  0.500
In  0.500  0.500  0.500


Computed, not measured: a relaxed TbHoTmIn crystal at the GGA-PBE level of DFT.

Summary:
- E_form: -0.135 eV/atom
- Raw total energy: -0.3116 Ry/atom

a b c (Å): 5.423 5.423 5.423
angles (deg): 60.00 60.00 60.00
Atoms (fractional coordinates):
Tb  0.000  0.000  0.000
Ho  0.500  0.500  0.500
Tm  0.750  0.750  0.750
In  0.250  0.250  0.250


Computed, not measured: a relaxed TbHoTm2In crystal at the GGA-PBE level of DFT.

Summary:
- E_form: 0.079 eV/atom
- Raw total energy: -0.3012 Ry/atom

a b c (Å): 10.350 10.350 9.134
angles (deg): 90.00 90.00 160.74
Atoms (fractional coordinates):
Tb  0.000  0.000  0.000
Tb  0.000  0.000  0.500
Ho  0.394  0.606  0.750
Ho  0.606  0.394  0.250
Tm  0.168  0.832  0.554
Tm  0.168  0.832  0.946
Tm  0.832  0.168  0.054
Tm  0.832  0.168  0.446
In  0.238  0.762  0.250
In  0.762  0.238  0.750


Computed, not measured: a relaxed TbHo2TmIn4 crystal at the GGA-PBE level of DFT.

Summary:
- E_form: -0.450 eV/atom
- Raw total energy: -0.3015 Ry/atom

a b c (Å): 9.189 9.189 9.189
angles (deg): 33.47 33.47 33.47
Atoms (fractional coordinates):
Tb  0.000  0.000  0.000
Ho  0.250  0.250  0.250
Ho  0.750  0.750  0.750
Tm  0.500  0.500  0.500
In  0.126  0.126  0.126
In  0.376  0.376  0.376
In  0.624  0.624  0.624
In  0.874  0.874  0.874


Computed, not measured: a relaxed Tb2Ho5TmIn crystal at the GGA-PBE level of DFT.

Summary:
- E_form: -0.004 eV/atom
- Raw total energy: -0.3217 Ry/atom

a b c (Å): 10.428 10.428 10.383
angles (deg): 90.00 90.00 150.53
Atoms (fractional coordinates):
Tb  0.116  0.884  0.539
Tb  0.116  0.884  0.961
Tb  0.884  0.116  0.039
Tb  0.884  0.116  0.461
Ho  0.011  0.989  0.250
Ho  0.288  0.712  0.552
Ho  0.288  0.712  0.948
Ho  0.382  0.618  0.250
Ho  0.500  0.500  0.000
Ho  0.500  0.500  0.500
Ho  0.618  0.382  0.750
Ho  0.712  0.288  0.052
Ho  0.712  0.288  0.448
Ho  0.989  0.011  0.750
Tm  0.208  0.792  0.250
Tm  0.792  0.208  0.750
In  0.404  0.596  0.750
In  0.596  0.404  0.250


Computed, not measured: a relaxed Tb2HoTmIn4 crystal at the GGA-PBE level of DFT.

Summary:
- E_form: -0.457 eV/atom
- Raw total energy: -0.3024 Ry/atom

a b c (Å): 9.203 9.203 9.203
angles (deg): 33.49 33.49 33.49
Atoms (fractional coordinates):
Tb  0.250  0.250  0.250
Tb  0.750  0.750  0.750
Ho  0.500  0.500  0.500
Tm  0.000  0.000  0.000
In  0.125  0.125  0.125
In  0.375  0.375  0.375
In  0.625  0.625  0.625
In  0.875  0.875  0.875


Computed, not measured: a relaxed TbHo2TmIn2 crystal at the GGA-PBE level of DFT.

Summary:
- E_form: -0.355 eV/atom
- Raw total energy: -0.3168 Ry/atom

a b c (Å): 5.156 9.761 6.706
angles (deg): 90.00 90.00 90.00
Atoms (fractional coordinates):
Tb  0.000  0.037  0.000
Tb  0.000  0.963  0.500
Ho  0.000  0.319  0.355
Ho  0.000  0.681  0.855
Ho  0.500  0.461  0.073
Ho  0.500  0.539  0.573
Tm  0.500  0.184  0.720
Tm  0.500  0.816  0.220
In  0.000  0.358  0.827
In  0.000  0.642  0.327
In  0.500  0.140  0.250
In  0.500  0.860  0.750


Computed, not measured: a relaxed Tb2Y6Ho3In crystal at the GGA-PBE level of DFT.

Summary:
- E_form: -0.042 eV/atom
- Raw total energy: -0.3982 Ry/atom

a b c (Å): 6.103 6.103 11.662
angles (deg): 95.03 95.03 120.05
Atoms (fractional coordinates):
Tb  0.166  0.834  0.000
Tb  0.834  0.166  0.000
Y  0.090  0.418  0.753
Y  0.254  0.254  0.248
Y  0.418  0.090  0.753
Y  0.582  0.910  0.247
Y  0.746  0.746  0.752
Y  0.910  0.582  0.247
Ho  0.000  0.000  0.500
Ho  0.334  0.666  0.500
Ho  0.666  0.334  0.500
In  0.500  0.500  0.000


Computed, not measured: a relaxed Tb5YHo2In crystal at the GGA-PBE level of DFT.

Summary:
- E_form: -0.005 eV/atom
- Raw total energy: -0.3393 Ry/atom

a b c (Å): 10.324 10.324 10.604
angles (deg): 90.00 90.00 149.82
Atoms (fractional coordinates):
Tb  0.000  0.000  0.000
Tb  0.000  0.000  0.500
Tb  0.116  0.884  0.750
Tb  0.209  0.791  0.452
Tb  0.210  0.790  0.049
Tb  0.487  0.513  0.750
Tb  0.513  0.487  0.250
Tb  0.790  0.210  0.549
Tb  0.791  0.209  0.952
Tb  0.884  0.116  0.250
Y  0.294  0.706  0.750
Y  0.706  0.294  0.250
Ho  0.384  0.616  0.043
Ho  0.384  0.616  0.457
Ho  0.616  0.384  0.543
Ho  0.616  0.384  0.957
In  0.095  0.905  0.250
In  0.905  0.095  0.750


Computed, not measured: a relaxed Tb2Y3Ho6In crystal at the GGA-PBE level of DFT.

Summary:
- E_form: -0.041 eV/atom
- Raw total energy: -0.3635 Ry/atom

a b c (Å): 6.081 6.081 11.631
angles (deg): 95.02 95.02 120.04
Atoms (fractional coordinates):
Tb  0.166  0.834  0.000
Tb  0.834  0.166  0.000
Y  0.000  0.000  0.500
Y  0.333  0.667  0.500
Y  0.667  0.333  0.500
Ho  0.090  0.418  0.754
Ho  0.253  0.253  0.248
Ho  0.418  0.090  0.754
Ho  0.582  0.910  0.246
Ho  0.747  0.747  0.752
Ho  0.910  0.582  0.246
In  0.500  0.500  0.000


Computed, not measured: a relaxed Tb6Y2Ho3In crystal at the GGA-PBE level of DFT.

Summary:
- E_form: -0.043 eV/atom
- Raw total energy: -0.3534 Ry/atom

a b c (Å): 6.093 6.093 11.665
angles (deg): 95.02 95.02 120.05
Atoms (fractional coordinates):
Tb  0.082  0.411  0.749
Tb  0.246  0.246  0.250
Tb  0.411  0.082  0.749
Tb  0.589  0.918  0.251
Tb  0.754  0.754  0.750
Tb  0.918  0.589  0.251
Y  0.334  0.666  0.500
Y  0.666  0.334  0.500
Ho  0.167  0.833  0.000
Ho  0.500  0.500  0.000
Ho  0.833  0.167  0.000
In  0.000  0.000  0.500